VASP calculation (PBE-GGA) on crystalline Pr2BeCu2O6 at its relaxed geometry.

Calculated values
Space group: R-3m, No. 166
N(E_F): 0.390 states/eV per atom
VASP energy: -70.696 eV per cell

Geometry as POSCAR:
```
Pr2BeCu2O6
1.0
2.812 1.624 4.901
-2.812 1.624 4.901
0.000 -3.247 4.901
Pr Be Cu O
2 1 2 6
direct
0.216 0.216 0.216
0.784 0.784 0.784
0.000 0.000 0.000
0.415 0.415 0.415
0.585 0.585 0.585
0.206 0.772 0.772
0.228 0.228 0.794
0.228 0.794 0.228
0.772 0.206 0.772
0.772 0.772 0.206
0.794 0.228 0.228
```